The following is a PBE calculation of a relaxed structure of Mn2MoAsS, from the Alexandria database.

Cell: 4.6168 4.6168 4.8766 Å, 90.00 90.00 90.00°
Space group P4/mmm (No. 123)
Symmetry-distinct sites (fractional):
Mn: 0.0000 0.5000 0.0000 x2
Mo: 0.0000 0.0000 0.5000 x1
As: 0.0000 0.0000 0.0000 x1
S: 0.5000 0.5000 0.5000 x1

Computed properties:
Electronic total energy in eV/atom: -6.73
Formation energy (no corrections) in eV per atom: 0.861